(1)
! UIrSe4, relaxed, DFT PBE; values from VASP
! - Uncorrected formation energy: -0.761 eV/atom
! - Space group: C2/m
&SYSTEM
  ibrav = 0, nat = 12, ntyp = 3
/
ATOMIC_SPECIES
Ir 192.22 Ir.upf
Se 78.96 Se.upf
U 238.03 U.upf
ATOMIC_POSITIONS crystal
Ir 0.500 0.500 0.000
Se 0.500 0.842 0.610
Se 0.500 0.791 0.121
Se 0.000 0.709 0.379
Se 0.500 0.158 0.390
U 0.500 0.500 0.500
Se 0.000 0.658 0.890
U 0.000 0.000 0.000
Se 0.000 0.342 0.110
Ir 0.000 0.000 0.500
Se 0.500 0.209 0.879
Se 0.000 0.291 0.621
CELL_PARAMETERS angstrom
-2.220 -1.734 2.679
-1.962 -3.826 -4.102
9.819 -9.825 1.779



(2)
! UIrSe, relaxed, DFT PBE; values from VASP
! - Uncorrected formation energy: -0.687 eV/atom
! - Space group: P4/nmm
&SYSTEM
  ibrav = 0, nat = 6, ntyp = 3
/
ATOMIC_SPECIES
Se 78.96 Se.upf
Ir 192.22 Ir.upf
U 238.03 U.upf
ATOMIC_POSITIONS crystal
Se 0.500 0.000 0.122
Ir 0.000 0.500 0.580
U 0.500 0.000 0.727
Ir 0.500 0.000 0.420
U 0.000 0.500 0.273
Se 0.000 0.500 0.878
CELL_PARAMETERS angstrom
3.643 0.000 0.000
0.000 3.643 0.000
0.000 0.000 9.208



(3)
! UIrSe4, relaxed, DFT PBE; values from VASP
! - Uncorrected formation energy: -0.501 eV/atom
! - Space group: I4_1md
&SYSTEM
  ibrav = 0, nat = 12, ntyp = 3
/
ATOMIC_SPECIES
Se 78.96 Se.upf
Ir 192.22 Ir.upf
U 238.03 U.upf
ATOMIC_POSITIONS crystal
Se 0.780 0.993 0.787
Ir 0.496 0.996 0.500
U 0.241 0.241 0.000
Se 0.315 0.513 0.801
Se 0.743 0.457 0.713
Se 0.743 0.030 0.287
Ir 0.746 0.746 0.000
Se 0.263 0.565 0.301
Se 0.712 0.513 0.199
Se 0.207 0.993 0.213
Se 0.263 0.962 0.699
U 0.991 0.491 0.500
CELL_PARAMETERS angstrom
-4.912 3.231 4.486
-0.614 -7.148 -1.794
6.367 0.372 3.743



(4)
! V2IrSe2, relaxed, DFT PBE; values from VASP
! - Uncorrected formation energy: 0.008 eV/atom
! - Space group: P4/mbm
&SYSTEM
  ibrav = 0, nat = 10, ntyp = 3
/
ATOMIC_SPECIES
V 50.94 V.upf
Se 78.96 Se.upf
Ir 192.22 Ir.upf
ATOMIC_POSITIONS crystal
V 0.648 0.852 0.500
Se 0.153 0.347 0.000
Se 0.847 0.653 0.000
Se 0.347 0.847 0.000
Se 0.653 0.153 0.000
Ir 0.500 0.500 0.000
Ir 0.000 0.000 0.000
V 0.852 0.352 0.500
V 0.148 0.648 0.500
V 0.352 0.148 0.500
CELL_PARAMETERS angstrom
-1.935 -5.246 -4.244
-3.164 -3.194 5.391
-2.597 1.481 -0.646



(5)
! VIr2Se, relaxed, DFT PBE; values from VASP
! - Uncorrected formation energy: 0.366 eV/atom
! - Space group: I-42d
&SYSTEM
  ibrav = 0, nat = 8, ntyp = 3
/
ATOMIC_SPECIES
V 50.94 V.upf
Ir 192.22 Ir.upf
Se 78.96 Se.upf
ATOMIC_POSITIONS crystal
V 0.500 0.500 0.000
Ir 0.132 0.625 0.250
Se 0.750 0.250 0.500
Ir 0.875 0.868 0.750
Se 0.000 0.000 0.000
V 0.250 0.750 0.500
Ir 0.375 0.382 0.750
Ir 0.618 0.125 0.250
CELL_PARAMETERS angstrom
5.586 0.000 0.000
0.000 5.586 0.000
2.793 2.793 5.368



(6)
! V2IrSe2, relaxed, DFT PBE; values from VASP
! - Uncorrected formation energy: 0.023 eV/atom
! - Space group: P4/mbm
&SYSTEM
  ibrav = 0, nat = 10, ntyp = 3
/
ATOMIC_SPECIES
Se 78.96 Se.upf
Ir 192.22 Ir.upf
V 50.94 V.upf
ATOMIC_POSITIONS crystal
Se 0.151 0.651 0.500
Se 0.651 0.849 0.500
Se 0.349 0.151 0.500
Ir 0.000 0.000 0.000
Ir 0.500 0.500 0.000
V 0.858 0.642 0.000
V 0.142 0.358 0.000
V 0.642 0.142 0.000
Se 0.849 0.349 0.500
V 0.358 0.858 0.000
CELL_PARAMETERS angstrom
-6.381 1.990 1.983
-2.775 -5.231 -3.680
0.199 -1.888 2.534